VASP calculation (PBE) on a relaxed structure of CaAs2Rh5Pb.

- total magnetization (μB/f.u.) = 0.0
- calculated formation energy (eV per atom) = -0.32
- space group = P4/mmm, No. 123
- uncorrected energy (eV/cell) = -54.63

The structure in POSCAR format:
```
CaAs2Rh5Pb
1.0
4.100 0.000 0.000
0.000 4.100 0.000
0.000 0.000 10.877
Ca As Rh Pb
1 2 5 1
Cartesian
0.000 0.000 0.000
2.050 2.050 2.352
2.050 2.050 8.525
0.000 2.050 3.595
0.000 2.050 7.281
2.050 0.000 3.595
2.050 0.000 7.281
2.050 2.050 0.000
0.000 0.000 5.438
```